(1)
An optimized crystal structure of ThHPd, computed with GGA-PBE.

Summary:
Energy above the lowest structure with this stoichiometry (eV per formula unit): 2.69

```
ThHPd
1.0
-1.976 3.830 -2.454
-2.215 0.288 2.233
6.619 2.751 3.977
Th H Pd
2 2 2
direct
0.164 0.664 0.329 Th
0.836 0.336 0.671 Th
0.680 0.180 0.361 H
0.320 0.820 0.639 H
0.255 0.500 0.000 Pd
0.745 0.500 0.000 Pd
```

(2)
An optimized crystal structure of ThH6Pd3, computed with GGA-PBE.

Summary:
DFT total energy (eV/atom): -4.619

```
ThH6Pd3
1.0
4.375 -0.311 -3.072
-2.907 4.175 0.349
-0.458 0.163 6.090
H Th Pd
6 1 3
direct
0.404 0.419 0.826 H
0.800 0.059 0.296 H
0.243 0.378 0.173 H
0.357 0.935 0.730 H
0.799 0.377 0.631 H
0.199 0.816 0.223 H
0.800 0.882 0.699 Th
0.355 0.662 0.962 Pd
0.243 0.104 0.406 Pd
0.800 0.368 0.055 Pd
```

(3)
An optimized crystal structure of ThH4Pd, computed with GGA-PBE.

Summary:
DFT total energy (eV/atom): -4.685

```
ThH4Pd
1.0
-2.905 -2.210 -2.566
-0.706 -2.964 3.353
-4.447 4.016 1.576
Pd H Th
2 8 2
direct
0.500 0.500 0.500 Pd
0.000 0.000 0.000 Pd
0.678 0.936 0.838 H
0.322 0.064 0.162 H
0.011 0.316 0.861 H
0.822 0.436 0.338 H
0.178 0.564 0.662 H
0.489 0.816 0.361 H
0.511 0.184 0.639 H
0.989 0.684 0.139 H
0.500 0.500 0.000 Th
0.000 0.000 0.500 Th
```

(4)
An optimized crystal structure of Th3H3Pd, computed with GGA-PBE.

Summary:
DFT total energy (eV/atom): -5.556

```
Th3H3Pd
1.0
6.410 0.000 0.000
0.000 6.410 0.000
0.000 0.000 6.410
H Th Pd
6 6 2
direct
0.000 0.500 0.750 H
0.750 0.000 0.500 H
0.000 0.500 0.250 H
0.500 0.750 0.000 H
0.250 0.000 0.500 H
0.500 0.250 0.000 H
0.250 0.500 0.000 Th
0.500 0.000 0.750 Th
0.000 0.250 0.500 Th
0.750 0.500 0.000 Th
0.500 0.000 0.250 Th
0.000 0.750 0.500 Th
0.000 0.000 0.000 Pd
0.500 0.500 0.500 Pd
```

(5)
An optimized crystal structure of ThH2Pd, computed with GGA-PBE.

Summary:
Energy above the lowest structure with this stoichiometry (eV per formula unit): 0.56

```
ThH2Pd
1.0
-2.956 0.459 -2.965
0.989 -0.528 -4.060
-1.490 -3.655 -2.073
H Th Pd
2 1 1
direct
0.835 0.835 0.495 H
0.165 0.165 0.505 H
0.500 0.500 0.500 Th
0.000 0.000 0.000 Pd
```

(6)
An optimized crystal structure of ThH6Pd7, computed with GGA-PBE.

Summary:
DFT total energy (eV/atom): -4.813

```
ThH6Pd7
1.0
-3.443 -3.858 0.040
1.565 -4.870 -0.753
0.351 -3.707 6.947
Pd H Th
7 6 1
direct
0.664 0.664 0.009 Pd
0.549 0.887 0.339 Pd
0.776 0.448 0.674 Pd
0.101 0.776 0.674 Pd
0.887 0.225 0.339 Pd
0.225 0.549 0.339 Pd
0.448 0.101 0.674 Pd
0.736 0.098 0.750 H
0.919 0.571 0.263 H
0.247 0.919 0.263 H
0.416 0.736 0.750 H
0.571 0.247 0.263 H
0.098 0.416 0.750 H
0.998 0.998 0.006 Th
```

(7)
An optimized crystal structure of ThH6Pd5, computed with GGA-PBE.

Summary:
DFT total energy (eV/atom): -4.693

```
ThH6Pd5
1.0
-3.314 4.011 0.323
-3.978 -0.185 3.575
2.802 2.573 3.561
H Pd Th
6 5 1
direct
0.584 0.997 0.821 H
0.854 0.690 0.333 H
0.544 0.315 0.329 H
0.456 0.685 0.671 H
0.146 0.310 0.667 H
0.416 0.003 0.179 H
0.673 0.652 0.002 Pd
0.176 0.650 0.499 Pd
0.500 0.000 0.500 Pd
0.327 0.348 0.998 Pd
0.824 0.350 0.501 Pd
0.000 0.000 0.000 Th
```

(8)
An optimized crystal structure of Th2HPd, computed with GGA-PBE.

Summary:
Energy above the lowest structure with this stoichiometry (eV per formula unit): 1.85

```
Th2HPd
1.0
3.384 0.000 0.000
1.692 2.931 0.000
1.692 0.977 8.716
Th Pd H
2 1 1
direct
0.104 0.104 0.687 Th
0.896 0.896 0.313 Th
0.000 0.000 0.000 Pd
0.500 0.500 0.500 H
```

(9)
An optimized crystal structure of ThH3Pd6, computed with GGA-PBE.

Summary:
DFT total energy (eV/atom): -5.243

```
ThH3Pd6
1.0
-1.392 -1.955 -5.329
-0.974 -3.320 4.489
-3.521 3.420 1.765
H Pd Th
3 6 1
direct
0.686 0.343 0.057 H
0.207 0.104 0.444 H
0.306 0.653 0.933 H
0.959 0.235 0.234 Pd
0.440 0.220 0.260 Pd
0.959 0.724 0.234 Pd
0.922 0.461 0.752 Pd
0.408 0.960 0.778 Pd
0.408 0.449 0.778 Pd
0.705 0.853 0.529 Th
```

(10)
An optimized crystal structure of Th2HPd4, computed with GGA-PBE.

Summary:
DFT total energy (eV/atom): -6.235

```
Th2HPd4
1.0
4.152 0.000 0.000
0.000 4.152 0.000
2.076 2.076 7.591
H Pd Th
1 4 2
direct
0.000 0.000 0.000 H
0.000 0.500 0.000 Pd
0.136 0.136 0.727 Pd
0.500 0.000 0.000 Pd
0.864 0.864 0.273 Pd
0.342 0.342 0.315 Th
0.658 0.658 0.685 Th
```

(11)
An optimized crystal structure of ThH3Pd, computed with GGA-PBE.

Summary:
DFT total energy (eV/atom): -4.882

```
ThH3Pd
1.0
-2.042 -2.957 1.243
3.059 -2.238 -0.299
0.965 0.839 3.581
H Pd Th
3 1 1
direct
0.000 0.500 0.000 H
0.000 0.000 0.500 H
0.500 0.000 0.000 H
0.000 0.000 0.000 Pd
0.500 0.500 0.500 Th
```

(12)
An optimized crystal structure of Th2HPd9, computed with GGA-PBE.

Summary:
DFT total energy (eV/atom): -5.935

```
Th2HPd9
1.0
4.285 0.000 0.000
0.000 4.285 0.000
0.000 0.000 11.152
Th Pd H
2 9 1
direct
0.000 0.000 0.309 Th
0.000 0.000 0.691 Th
0.000 0.500 0.138 Pd
0.500 0.000 0.138 Pd
0.500 0.500 0.000 Pd
0.500 0.500 0.680 Pd
0.500 0.000 0.500 Pd
0.500 0.500 0.320 Pd
0.000 0.500 0.500 Pd
0.000 0.500 0.862 Pd
0.500 0.000 0.862 Pd
0.000 0.000 0.000 H
```